DFT (PBE-GGA) results for an optimized crystal structure of BaCaLa2Tc.

For the formation energy, the calculation gives 0.149 eV/atom. As for the calculated density: 4.75 g/cm³. Its total DFT energy (no corrections) is -4.680 eV per atom. The energy above the most stable polymorph in this dataset is 80 meV per atom. For the density of states at the Fermi level, the calculation gives 5.5 states/eV/cell.

The space group is P4/mmm (No. 123) and the conventional cell measures 5.5204, 5.5204 and 6.3469 Å, with angles of 90.00, 90.00 and 90.00 degrees. Symmetry generates all atoms from Ba at (0.0000, 0.0000, 0.0000), Ca at (0.5000, 0.5000, 0.0000), La at (0.0000, 0.5000, 0.5000) and Tc at (0.0000, 0.0000, 0.5000).